Entry 1:
VASP calculation (GGA-PBE) on a relaxed Al3CrCl crystal.

Cell and atoms, written as CIF:
```
data_Al3CrCl
_cell_length_a 4.929
_cell_length_b 4.929
_cell_length_c 4.929
_cell_angle_alpha 90.00
_cell_angle_beta 90.00
_cell_angle_gamma 90.00
_symmetry_space_group_name_H-M 'P m -3 m'
_symmetry_Int_Tables_number 221
_symmetry_space_group_name_Hall '-P 4 2 3'
loop_
_atom_site_label
_atom_site_fract_x
_atom_site_fract_y
_atom_site_fract_z
_atom_site_occupancy
Al1 0.000 0.000 0.500 1
Cr1 0.000 0.000 0.000 1
Cl1 0.500 0.500 0.500 1
```


Entry 2:
VASP calculation (GGA-PBE) on a relaxed Al2CrCl crystal.

Cell and atoms, written as CIF:
```
data_Al2CrCl
_cell_length_a 6.399
_cell_length_b 6.399
_cell_length_c 6.399
_cell_angle_alpha 90.00
_cell_angle_beta 90.00
_cell_angle_gamma 90.00
_symmetry_space_group_name_H-M 'F m -3 m'
_symmetry_Int_Tables_number 225
_symmetry_space_group_name_Hall '-F 4 2 3'
loop_
_atom_site_label
_atom_site_fract_x
_atom_site_fract_y
_atom_site_fract_z
_atom_site_occupancy
Al1 0.250 0.250 0.250 1
Cr1 0.000 0.000 0.000 1
Cl1 0.000 0.000 0.500 1
```


Entry 3:
VASP calculation (GGA-PBE) on a relaxed AlCrCl5 crystal.

Cell and atoms, written as CIF:
```
data_AlCrCl5
_cell_length_a 9.263
_cell_length_b 10.618
_cell_length_c 9.008
_cell_angle_alpha 90.00
_cell_angle_beta 119.19
_cell_angle_gamma 90.00
_symmetry_space_group_name_H-M 'C 1 2/c 1'
_symmetry_Int_Tables_number 15
loop_
_symmetry_equiv_pos_as_xyz
'x,y,z'
'-x,-y,-z'
'-x,y,-z+1/2'
'x,-y,z+1/2'
'x+1/2,y+1/2,z'
'-x+1/2,-y+1/2,-z'
'-x+1/2,y+1/2,-z+1/2'
'x+1/2,-y+1/2,z+1/2'
loop_
_atom_site_label
_atom_site_fract_x
_atom_site_fract_y
_atom_site_fract_z
_atom_site_occupancy
Al1 0.000 0.117 0.250 1
Cr1 0.000 0.500 0.000 1
Cl1 0.000 0.427 0.750 1
Cl2 0.012 0.227 0.453 1
Cl3 0.201 0.024 0.844 1
```


Entry 4:
VASP calculation (GGA-PBE) on a relaxed Al2CrCl crystal.

Cell and atoms, written as CIF:
```
data_Al2CrCl
_cell_length_a 3.058
_cell_length_b 4.742
_cell_length_c 4.696
_cell_angle_alpha 90.00
_cell_angle_beta 90.00
_cell_angle_gamma 90.00
_symmetry_space_group_name_H-M 'P m m 2'
_symmetry_Int_Tables_number 25
loop_
_symmetry_equiv_pos_as_xyz
'x,y,z'
'-x,-y,z'
'-x,y,z'
'x,-y,z'
loop_
_atom_site_label
_atom_site_fract_x
_atom_site_fract_y
_atom_site_fract_z
_atom_site_occupancy
Al1 0.000 0.000 0.000 1
Al2 0.000 0.500 0.290 1
Cr1 0.500 0.000 0.483 1
Cl1 0.500 0.500 0.699 1
```


Computed theoretical density, in the same sequence as the records: 2.33; 3.58; 2.20; 3.45 Mg/m³.
Computed formation energy from raw total energies, in the same sequence as the records: 2.270; 3.227; -8.558; 0.543 eV/f.u..
Computed electronic total energy, in the same sequence as the records: -20.427; -62.911; -124.630; -18.412 eV for the cell shown.